# Li2Ac2Pb3 GGA-PBE relaxed
data_Li2Ac2Pb3
_cell_length_a 5.023
_cell_length_b 21.197
_cell_length_c 7.770
_cell_angle_alpha 90.00
_cell_angle_beta 90.00
_cell_angle_gamma 90.00
_symmetry_space_group_name_H-M 'C m c m'
_symmetry_Int_Tables_number 63
_symmetry_space_group_name_Hall '-C 2c 2'
loop_
_atom_site_label
_atom_site_fract_x
_atom_site_fract_y
_atom_site_fract_z
Li1 0.000 0.196 0.065
Ac1 0.000 0.341 0.250
Ac2 0.000 0.452 0.750
Pb1 0.000 0.070 0.552
Pb2 0.000 0.281 0.750
# Calculated total energy: -3.812 eV/atom
# Fermi-level density of states: 0.22 states/eV per atom
# Energy relative to the elements: -0.502 eV/atom